Density functional theory data (GGA-PBE) for an optimized crystal structure of NbZnSe2N.

Unit cell a=5.1997 b=5.1997 c=3.8955 alpha=90.00 beta=90.00 gamma=90.00
Fractional coordinates of all 5 atoms:
Nb (0.0000, 0.0000, 0.0000)
Zn (0.5000, 0.5000, 0.5000)
Se (0.0000, 0.5000, 0.0000)
Se (0.5000, 0.0000, 0.0000)
N (0.0000, 0.0000, 0.5000)

Output
Size of the total moment (μB per formula unit): 0.00
Symmetry: P4/mmm
Theoretical density (kg/m3): 5207
Energy above the most stable polymorph in this dataset (kcal/mol of atoms): 0.00
Calculated volume (A^3/atom): 21.1
Energy (eV for the cell shown): -26.309

***

Density functional theory data (GGA-PBE) for an optimized crystal structure of Pr15YHo4.

Unit cell a=5.1992 b=5.1992 c=25.8611 alpha=90.00 beta=90.00 gamma=90.00
Fractional coordinates of all 20 atoms:
Pr (0.5000, 0.5000, 0.0000)
Pr (0.5000, 0.5000, 0.2003)
Pr (0.5000, 0.5000, 0.4001)
Pr (0.5000, 0.5000, 0.5999)
Pr (0.5000, 0.5000, 0.7997)
Pr (0.5000, 0.0000, 0.1005)
Pr (0.5000, 0.0000, 0.3002)
Pr (0.5000, 0.0000, 0.5000)
Pr (0.5000, 0.0000, 0.6998)
Pr (0.5000, 0.0000, 0.8995)
Pr (0.0000, 0.5000, 0.1005)
Pr (0.0000, 0.5000, 0.3002)
Pr (0.0000, 0.5000, 0.5000)
Pr (0.0000, 0.5000, 0.6998)
Pr (0.0000, 0.5000, 0.8995)
Y (0.0000, 0.0000, 0.0000)
Ho (0.0000, 0.0000, 0.2002)
Ho (0.0000, 0.0000, 0.4001)
Ho (0.0000, 0.0000, 0.5999)
Ho (0.0000, 0.0000, 0.7998)

Output
Size of the total moment (μB per formula unit): 0.00
Symmetry: P4/mmm
Theoretical density (kg/m3): 6799
Calculated volume (A^3/atom): 35.0
Energy (eV for the cell shown): -96.289

***

Density functional theory data (GGA-PBE) for an optimized crystal structure of La2PN4.

Unit cell a=3.8227 b=3.8227 c=6.6672 alpha=73.34 beta=73.34 gamma=90.00
Site moments in Bohr magnetons follow the coordinates.
Fractional coordinates of all 7 atoms:
P (0.0000, 0.0000, 0.0000)  -0.01
N (0.1480, 0.1480, 0.7039)  0.06
N (0.8520, 0.8520, 0.2961)  0.06
N (0.0000, 0.5000, 0.0000)  0.08
N (0.5000, 0.0000, 0.0000)  0.08
La (0.3583, 0.3583, 0.2835)  0.01
La (0.6417, 0.6417, 0.7165)  0.01

Output
Size of the total moment (μB per formula unit): 0.38
Symmetry: I4/mmm
Theoretical density (kg/m3): 6802
Energy above the most stable polymorph in this dataset (kcal/mol of atoms): 9.02
Calculated volume (A^3/atom): 12.7
Energy (eV for the cell shown): -53.605

***

Density functional theory data (GGA-PBE) for an optimized crystal structure of BaAc2H8.

Unit cell a=4.1704 b=5.9509 c=7.2407 alpha=114.26 beta=106.74 gamma=90.00
Fractional coordinates of all 11 atoms:
Ba (0.5000, 0.0000, 0.0000)
Ac (0.1793, 0.6793, 0.3587)
Ac (0.8207, 0.3207, 0.6413)
H (0.6621, 0.8873, 0.3241)
H (0.3379, 0.5632, 0.6758)
H (0.1770, 0.1770, 0.3540)
H (0.0000, 0.2943, 0.0000)
H (0.8230, 0.8230, 0.6460)
H (0.6621, 0.4368, 0.3242)
H (0.3379, 0.1127, 0.6759)
H (0.0000, 0.7057, 0.0000)

Output
Size of the total moment (μB per formula unit): 0.00
Symmetry: Immm
Theoretical density (kg/m3): 6403
Calculated volume (A^3/atom): 14.1
Energy (eV for the cell shown): -43.029

***

Density functional theory data (GGA-PBE) for an optimized crystal structure of Li3AlZn3.

Unit cell a=6.3063 b=6.3063 c=5.7328 alpha=90.00 beta=90.00 gamma=86.99
Fractional coordinates of all 14 atoms:
Li (0.2508, 0.2508, 0.5000)
Li (0.2808, 0.7192, 0.5000)
Li (0.7192, 0.2808, 0.5000)
Li (0.2876, 0.7124, 0.0000)
Li (0.7124, 0.2876, 0.0000)
Li (0.7492, 0.7492, 0.5000)
Al (0.2519, 0.2519, 0.0000)
Al (0.7481, 0.7481, 0.0000)
Zn (0.0000, 0.0000, 0.7448)
Zn (0.5000, 0.0000, 0.2558)
Zn (0.0000, 0.5000, 0.2558)
Zn (0.5000, 0.0000, 0.7442)
Zn (0.0000, 0.5000, 0.7442)
Zn (0.0000, 0.0000, 0.2552)

Output
Size of the total moment (μB per formula unit): 0.00
Symmetry: Cmmm
Theoretical density (kg/m3): 3560
Calculated volume (A^3/atom): 16.3
Energy (eV for the cell shown): -28.152

***

Density functional theory data (GGA-PBE) for an optimized crystal structure of RbPrPb2Cl8.

Unit cell a=6.9505 b=6.6900 c=9.1113 alpha=90.00 beta=90.00 gamma=89.12
Fractional coordinates of all 12 atoms:
Rb (0.0000, 0.0000, 0.5000)
Pr (0.0000, 0.0000, 0.0000)
Pb (0.5000, 0.5000, 0.7468)
Pb (0.5000, 0.5000, 0.2532)
Cl (0.1633, 0.7621, 0.2170)
Cl (0.6801, 0.7468, 0.0000)
Cl (0.8366, 0.2378, 0.2170)
Cl (0.8367, 0.2379, 0.7830)
Cl (0.3199, 0.2532, 0.0000)
Cl (0.1634, 0.7622, 0.7830)
Cl (0.6282, 0.7209, 0.5000)
Cl (0.3718, 0.2791, 0.5000)

Output
Size of the total moment (μB per formula unit): 0.00
Symmetry: P2/m
Theoretical density (kg/m3): 3624
Calculated volume (A^3/atom): 35.3
Energy (eV for the cell shown): -47.799

***

Density functional theory data (GGA-PBE) for an optimized crystal structure of TcHRu2W.

Unit cell a=3.9175 b=3.9175 c=3.9307 alpha=90.00 beta=90.00 gamma=90.00
Fractional coordinates of all 5 atoms:
Ru (0.0000, 0.5000, 0.0000)
Ru (0.5000, 0.0000, 0.0000)
Tc (0.0000, 0.0000, 0.5000)
W (0.5000, 0.5000, 0.5000)
H (0.0000, 0.0000, 0.0000)

Output
Size of the total moment (μB per formula unit): 0.00
Symmetry: P4/mmm
Theoretical density (kg/m3): 13351
Energy above the most stable polymorph in this dataset (kcal/mol of atoms): 0.00
Calculated volume (A^3/atom): 12.1
Energy (eV for the cell shown): -45.301

***

Density functional theory data (GGA-PBE) for an optimized crystal structure of Pm2Er3Se8.

Unit cell a=7.0059 b=8.2435 c=8.2950 alpha=119.79 beta=106.76 gamma=90.00
Fractional coordinates of all 13 atoms:
Pm (0.3371, 0.2595, 0.5191)
Pm (0.6629, 0.7405, 0.4809)
Er (0.5000, 0.0000, 0.0000)
Er (0.0000, 0.2608, 0.0000)
Er (0.0000, 0.7392, 0.0000)
Se (0.9242, 0.6206, 0.2412)
Se (0.0758, 0.3794, 0.7588)
Se (0.9194, 0.1148, 0.2296)
Se (0.0806, 0.8852, 0.7704)
Se (0.5888, 0.6428, 0.7607)
Se (0.5888, 0.1179, 0.7607)
Se (0.4112, 0.8821, 0.2393)
Se (0.4112, 0.3572, 0.2393)

Output
Size of the total moment (μB per formula unit): 0.00
Symmetry: C2/m
Theoretical density (kg/m3): 6028
Calculated volume (A^3/atom): 30.2
Energy (eV for the cell shown): -73.513

***

Density functional theory data (GGA-PBE) for an optimized crystal structure of Tb2Ge3.

Unit cell a=4.1924 b=7.2973 c=7.2973 alpha=90.00 beta=90.00 gamma=90.00
Fractional coordinates of all 10 atoms:
Tb (0.5000, 0.8205, 0.3205)
Tb (0.5000, 0.6795, 0.8205)
Tb (0.5000, 0.3205, 0.1795)
Tb (0.5000, 0.1795, 0.6795)
Ge (0.0000, 0.0000, 0.0000)
Ge (0.0000, 0.5000, 0.5000)
Ge (0.0000, 0.1230, 0.3770)
Ge (0.0000, 0.3770, 0.8770)
Ge (0.0000, 0.6230, 0.1230)
Ge (0.0000, 0.8770, 0.6230)

Output
Size of the total moment (μB per formula unit): 0.00
Symmetry: P4/mbm
Theoretical density (kg/m3): 7970
Energy above the most stable polymorph in this dataset (kcal/mol of atoms): 1.09
Calculated volume (A^3/atom): 22.3
Energy (eV for the cell shown): -53.223

***

Density functional theory data (GGA-PBE) for an optimized crystal structure of Pr5TlSn4.

Unit cell a=6.5064 b=7.8809 c=7.8809 alpha=80.19 beta=65.62 gamma=65.62
Fractional coordinates of all 10 atoms:
Pr (0.8745, 0.4126, 0.7869)
Pr (0.2871, 0.7869, 0.5874)
Pr (0.6614, 0.2131, 0.4126)
Pr (0.0739, 0.5874, 0.2131)
Pr (0.6007, 0.0000, 0.0000)
Tl (0.1228, 0.0000, 0.0000)
Sn (0.3666, 0.3975, 0.8142)
Sn (0.7641, 0.8142, 0.6025)
Sn (0.1808, 0.1858, 0.3975)
Sn (0.5784, 0.6025, 0.1858)

Output
Size of the total moment (μB per formula unit): 0.00
Symmetry: I4
Theoretical density (kg/m3): 6854
Calculated volume (A^3/atom): 33.5
Energy (eV for the cell shown): -47.264

***

Density functional theory data (GGA-PBE) for an optimized crystal structure of Mg6ZnSi.

Unit cell a=6.1685 b=6.1685 c=4.9531 alpha=90.00 beta=90.00 gamma=120.71
Fractional coordinates of all 8 atoms:
Mg (0.1661, 0.3535, 0.0000)
Mg (0.6465, 0.8339, 0.0000)
Mg (0.6635, 0.3365, 0.0000)
Mg (0.3380, 0.1457, 0.5000)
Mg (0.8543, 0.6620, 0.5000)
Mg (0.8407, 0.1593, 0.5000)
Zn (0.1400, 0.8600, 0.0000)
Si (0.3509, 0.6491, 0.5000)

Output
Size of the total moment (μB per formula unit): 0.00
Symmetry: Amm2
Theoretical density (kg/m3): 2452
Energy above the most stable polymorph in this dataset (kcal/mol of atoms): 0.27
Calculated volume (A^3/atom): 20.3
Energy (eV for the cell shown): -15.909

***

Density functional theory data (GGA-PBE) for an optimized crystal structure of KRbTlIn.

Unit cell a=5.8801 b=5.8801 c=5.8801 alpha=60.00 beta=60.00 gamma=60.00
Fractional coordinates of all 4 atoms:
Tl (0.2500, 0.2500, 0.2500)
K (0.7500, 0.7500, 0.7500)
Rb (0.0000, 0.0000, 0.0000)
In (0.5000, 0.5000, 0.5000)

Output
Size of the total moment (μB per formula unit): 0.00
Symmetry: F-43m
Theoretical density (kg/m3): 5126
Calculated volume (A^3/atom): 35.9
Energy (eV for the cell shown): -7.308

***

Density functional theory data (GGA-PBE) for an optimized crystal structure of MoSeBr2.

Unit cell a=7.0466 b=7.0466 c=7.0466 alpha=153.22 beta=136.05 gamma=52.21
Site moments in Bohr magnetons follow the coordinates.
Fractional coordinates of all 4 atoms:
Br (0.9941, 0.9941, 0.0000)  -0.08
Br (0.6623, 0.1623, 0.5000)  0.04
Mo (0.4951, 0.4951, 0.0000)  1.36
Se (0.3486, 0.8486, 0.5000)  -0.17

Output
Size of the total moment (μB per formula unit): 1.28
Symmetry: Imm2
Theoretical density (kg/m3): 5104
Energy above the most stable polymorph in this dataset (kcal/mol of atoms): 8.47
Calculated volume (A^3/atom): 27.2
Energy (eV for the cell shown): -17.516

***

Density functional theory data (GGA-PBE) for an optimized crystal structure of Tm2AlS.

Unit cell a=4.1003 b=3.9008 c=11.1594 alpha=100.07 beta=90.00 gamma=90.00
Fractional coordinates of all 8 atoms:
Tm (0.7500, 0.6834, 0.3669)
Tm (0.2500, 0.3166, 0.6331)
Tm (0.7500, 0.9264, 0.8528)
Tm (0.2500, 0.0736, 0.1472)
Al (0.2500, 0.4617, 0.9234)
Al (0.7500, 0.5383, 0.0766)
S (0.2500, 0.1949, 0.3898)
S (0.7500, 0.8051, 0.6102)

Output
Size of the total moment (μB per formula unit): 0.00
Symmetry: Cmcm
Theoretical density (kg/m3): 7501
Energy above the most stable polymorph in this dataset (kcal/mol of atoms): 0.00
Calculated volume (A^3/atom): 22.0
Energy (eV for the cell shown): -42.990

***

Density functional theory data (GGA-PBE) for an optimized crystal structure of Ce2Sm3PaN6.

Unit cell a=6.1780 b=6.1780 c=6.1659 alpha=99.61 beta=99.61 gamma=119.98
Fractional coordinates of all 12 atoms:
Ce (0.3336, 0.6664, 0.0000)
Ce (0.6664, 0.3336, 0.0000)
Sm (0.1675, 0.8325, 0.5000)
Sm (0.8325, 0.1675, 0.5000)
Sm (0.5000, 0.5000, 0.5000)
Pa (0.0000, 0.0000, 0.0000)
N (0.9223, 0.6035, 0.7671)
N (0.7591, 0.7591, 0.2339)
N (0.0777, 0.3965, 0.2329)
N (0.6035, 0.9223, 0.7671)
N (0.2409, 0.2409, 0.7661)
N (0.3965, 0.0777, 0.2329)

Output
Size of the total moment (μB per formula unit): 0.00
Symmetry: C2/m
Theoretical density (kg/m3): 9042
Calculated volume (A^3/atom): 16.0
Energy (eV for the cell shown): -104.210

***

Density functional theory data (GGA-PBE) for an optimized crystal structure of Ac2Nd3Sm5.

Unit cell a=11.4136 b=10.4111 c=11.9012 alpha=132.21 beta=133.90 gamma=60.73
Fractional coordinates of all 20 atoms:
Ac (0.8033, 0.9883, 0.7452)
Ac (0.1967, 0.0117, 0.2548)
Ac (0.4418, 0.7568, 0.7452)
Ac (0.5582, 0.2432, 0.2548)
Nd (0.2301, 0.9801, 0.9603)
Nd (0.7699, 0.0199, 0.0397)
Nd (0.7161, 0.4680, 0.2552)
Nd (0.2839, 0.5320, 0.7448)
Nd (0.0391, 0.7872, 0.2552)
Nd (0.9609, 0.2128, 0.7448)
Sm (0.2550, 0.5050, 0.0099)
Sm (0.7450, 0.4950, 0.9901)
Sm (0.9939, 0.7439, 0.4878)
Sm (0.5260, 0.2760, 0.5519)
Sm (0.0061, 0.2561, 0.5122)
Sm (0.4740, 0.7240, 0.4481)
Sm (0.8248, 0.5902, 0.7553)
Sm (0.1752, 0.4098, 0.2447)
Sm (0.4305, 0.1651, 0.7553)
Sm (0.5695, 0.8349, 0.2447)

Output
Size of the total moment (μB per formula unit): 0.00
Symmetry: C2/c
Theoretical density (kg/m3): 7216
Calculated volume (A^3/atom): 37.7
Energy (eV for the cell shown): -88.188

***

Density functional theory data (GGA-PBE) for an optimized crystal structure of Rb2PBr5Cl.

Unit cell a=7.4838 b=7.4838 c=7.4838 alpha=89.87 beta=120.07 gamma=120.07
Fractional coordinates of all 9 atoms:
Rb (0.5000, 0.2483, 0.7483)
Rb (0.5000, 0.7483, 0.2483)
P (0.0000, 0.9966, 0.9966)
Br (0.4709, 0.2327, 0.2327)
Br (0.5291, 0.7618, 0.7618)
Br (0.0000, 0.7618, 0.2327)
Br (0.0000, 0.2327, 0.7618)
Br (0.0000, 0.2354, 0.2354)
Cl (0.0000, 0.7825, 0.7825)

Output
Size of the total moment (μB per formula unit): 0.00
Symmetry: I4mm
Theoretical density (kg/m3): 3572
Calculated volume (A^3/atom): 32.9
Energy (eV for the cell shown): -26.192

***

Density functional theory data (GGA-PBE) for an optimized crystal structure of Dy3TlTe2.

Unit cell a=6.1904 b=8.7184 c=13.1658 alpha=90.00 beta=90.00 gamma=89.99
Fractional coordinates of all 24 atoms:
Dy (0.2505, 0.6212, 0.5813)
Dy (0.2505, 0.1212, 0.9187)
Dy (0.2502, 0.6345, 0.9194)
Dy (0.2502, 0.1345, 0.5806)
Dy (0.2494, 0.6244, 0.2503)
Dy (0.2494, 0.1244, 0.2497)
Dy (0.7506, 0.8756, 0.7503)
Dy (0.7506, 0.3756, 0.7497)
Dy (0.7498, 0.8655, 0.4194)
Dy (0.7498, 0.3655, 0.0806)
Dy (0.7495, 0.8788, 0.0813)
Dy (0.7495, 0.3788, 0.4187)
Tl (0.2495, 0.8744, 0.0867)
Tl (0.2495, 0.3744, 0.4133)
Tl (0.7505, 0.6256, 0.5867)
Tl (0.7505, 0.1256, 0.9133)
Te (0.2506, 0.8764, 0.7454)
Te (0.2506, 0.3764, 0.7546)
Te (0.2497, 0.8776, 0.4174)
Te (0.2497, 0.3776, 0.0826)
Te (0.7503, 0.6224, 0.9174)
Te (0.7503, 0.1224, 0.5826)
Te (0.7494, 0.6236, 0.2454)
Te (0.7494, 0.1236, 0.2546)

Output
Size of the total moment (μB per formula unit): 0.00
Symmetry: P2_1/c
Theoretical density (kg/m3): 8853
Energy above the most stable polymorph in this dataset (kcal/mol of atoms): 0.37
Calculated volume (A^3/atom): 29.6
Energy (eV for the cell shown): -113.540

***

Density functional theory data (GGA-PBE) for an optimized crystal structure of Dy2YCo.

Unit cell a=6.2228 b=6.9575 c=9.4555 alpha=90.00 beta=90.00 gamma=90.00
Fractional coordinates of all 16 atoms:
Dy (0.1762, 0.6745, 0.0681)
Dy (0.3238, 0.1745, 0.4319)
Dy (0.8238, 0.3255, 0.5681)
Dy (0.6762, 0.8255, 0.9319)
Dy (0.8238, 0.3255, 0.9319)
Dy (0.6762, 0.8255, 0.5681)
Dy (0.1762, 0.6745, 0.4319)
Dy (0.3238, 0.1745, 0.0681)
Y (0.6404, 0.5413, 0.2500)
Y (0.8596, 0.0413, 0.2500)
Y (0.3596, 0.4587, 0.7500)
Y (0.1404, 0.9587, 0.7500)
Co (0.0548, 0.3875, 0.2500)
Co (0.4452, 0.8875, 0.2500)
Co (0.9452, 0.6125, 0.7500)
Co (0.5548, 0.1125, 0.7500)

Output
Size of the total moment (μB per formula unit): 0.00
Symmetry: Pnma
Theoretical density (kg/m3): 7672
Energy above the most stable polymorph in this dataset (kcal/mol of atoms): 0.00
Calculated volume (A^3/atom): 25.6
Energy (eV for the cell shown): -93.616

***

Density functional theory data (GGA-PBE) for an optimized crystal structure of Be2FeAs.

Unit cell a=3.8109 b=2.6320 c=4.7898 alpha=105.84 beta=90.00 gamma=90.00
Site moments in Bohr magnetons follow the coordinates.
Fractional coordinates of all 4 atoms:
Be (0.0000, 0.9579, 0.0363)  -0.02
Be (0.5000, 0.0779, 0.2833)  -0.04
As (0.5000, 0.8094, 0.7452)  -0.01
Fe (0.0000, 0.6549, 0.4352)  1.44

Output
Size of the total moment (μB per formula unit): 1.33
Symmetry: Pm
Theoretical density (kg/m3): 5346
Energy above the most stable polymorph in this dataset (kcal/mol of atoms): 2.73
Calculated volume (A^3/atom): 11.6
Energy (eV for the cell shown): -20.069